CdCu3C, relaxed, DFT PBE; ΔE to the lowest computed polymorph = 0.0 kJ/mol of atoms
1.0
3.983 0.000 0.000
0.000 3.983 0.000
0.000 0.000 3.983
Cd Cu C
1 3 1
direct
0.000 0.000 0.000
0.000 0.500 0.500
0.500 0.000 0.500
0.500 0.500 0.000
0.500 0.500 0.500

***

The following is a PBE calculation of a relaxed CdGaCu2C crystal, from Alexandria.

The structure in POSCAR format:
```
CdGaCu2C
1.0
4.712 0.000 0.000
0.000 4.712 0.000
0.000 0.000 3.747
Cd Ga Cu C
1 1 2 1
direct
0.000 0.000 0.000
0.500 0.500 0.500
0.000 0.500 0.500
0.500 0.000 0.500
0.500 0.500 0.000
```

***

The following is a PBE calculation of a relaxed La2CdCuC crystal, from Alexandria.

The structure in POSCAR format:
```
La2CdCuC
1.0
5.439 0.000 0.000
0.000 5.439 0.000
0.000 0.000 3.862
La Cd Cu C
2 1 1 1
direct
0.000 0.500 0.000
0.500 0.000 0.000
0.000 0.000 0.500
0.500 0.500 0.500
0.500 0.500 0.000
```

***

no.,formation enthalpy at 0 K (eV/atom),total magnetic moment (μB per cell)
1,0.3655,0.00
2,1.1201,0.00
3,-0.0914,0.00